The following is a SCAN calculation of Zr2VNi3 at its PBEsol-relaxed geometry, from the Alexandria database.

a b c (Å): 4.891 4.891 4.891
angles (deg): 61.11 61.11 61.11
Sites, in units of the cell vectors:
Ni: 0.000 0.000 0.500
Ni: 0.000 0.500 0.000
Ni: 0.500 0.000 0.000
Zr: 0.629 0.629 0.629
Zr: 0.371 0.371 0.371
V: 0.000 0.000 0.000

Computed properties:
Fermi-level density of states	7.83	states/eV per cell
final energy	-21.582	eV per atom